No. 1
Below is Rb4NaPu3O8 after structural relaxation, with properties calculated at the PBE-GGA level.

```
Rb4NaPu3O8
1.0
7.1323 0.0000 0.0000
0.0000 7.7008 0.3845
-3.5662 -3.5558 5.0505
O Rb Pu Na
8 4 3 1
direct
0.7599 0.3270 0.0669 O
0.7279 0.6837 0.4559 O
0.2401 0.6730 0.9331 O
0.2400 0.6730 0.4801 O
0.3070 0.3270 0.0669 O
0.7600 0.3270 0.5199 O
0.2721 0.3163 0.5441 O
0.6930 0.6730 0.9331 O
0.5000 0.0000 0.0000 Rb
0.0000 0.0000 0.5000 Rb
0.5000 0.0000 0.5000 Rb
0.0000 0.0000 0.0000 Rb
0.0000 0.5000 0.5000 Pu
0.5000 0.5000 0.0000 Pu
0.5000 0.5000 0.5000 Pu
0.0000 0.5000 0.0000 Na
```

Values from the calculation:
The value obtained for the density of states at the Fermi level is 0.87 states/eV per atom. The calculation puts the energy relative to the elements, uncorrected at -2.2626 eV per atom.

No. 2
Below is Rb2Na2PuO6 after structural relaxation, with properties calculated at the PBE-GGA level.

```
Rb2Na2PuO6
1.0
5.9132 0.1548 -0.0226
-2.7881 5.2170 -0.0226
-1.2054 -2.0719 6.4310
O Na Pu Rb
6 2 1 2
direct
0.2027 0.2027 0.3301 O
0.0517 0.3350 0.6782 O
0.9483 0.6650 0.3218 O
0.6650 0.9483 0.3218 O
0.3350 0.0517 0.6782 O
0.7973 0.7973 0.6699 O
0.6597 0.3403 0.5000 Na
0.3403 0.6597 0.5000 Na
0.0000 0.0000 0.5000 Pu
0.1831 0.8169 0.0000 Rb
0.8169 0.1831 0.0000 Rb
```

Values from the calculation:
The calculation puts the energy relative to the elements, uncorrected at -1.9088 eV per atom.

No. 3
Below is Rb2Na2PuO4 after structural relaxation, with properties calculated at the PBE-GGA level.

```
Rb2Na2PuO4
1.0
3.6535 0.0000 0.0000
0.0000 9.1157 -0.8612
-1.8267 -4.4720 5.6006
Pu Rb O Na
1 2 4 2
direct
0.0000 0.0000 0.0000 Pu
0.8242 0.4285 0.6484 Rb
0.1758 0.5715 0.3516 Rb
0.5607 0.2083 0.1214 O
0.8132 0.9041 0.6264 O
0.4393 0.7917 0.8786 O
0.1868 0.0959 0.3736 O
0.6428 0.9032 0.2855 Na
0.3572 0.0968 0.7145 Na
```

Values from the calculation:
The value obtained for the density of states at the Fermi level is 0.80 states/eV per atom. The calculation puts the energy relative to the elements, uncorrected at -1.8726 eV per atom.

No. 4
Below is Rb3NaPu2O9 after structural relaxation, with properties calculated at the PBE-GGA level.

```
Rb3NaPu2O9
1.0
-5.4208 -2.6126 -1.3504
4.8084 -0.7385 -3.7905
2.0635 -6.2654 3.8382
Rb O Na Pu
3 9 1 2
direct
0.6667 0.3333 0.3498 Rb
0.0000 0.0000 0.0000 Rb
0.3333 0.6667 0.6502 Rb
0.8148 0.1852 0.6968 O
0.1852 0.8148 0.3032 O
0.8148 0.6295 0.6968 O
0.6295 0.8148 0.3032 O
0.5000 0.0000 0.0000 O
0.5000 0.5000 0.0000 O
0.3705 0.1852 0.6968 O
0.1852 0.3705 0.3032 O
0.0000 0.5000 0.0000 O
0.0000 0.0000 0.5000 Na
0.6667 0.3333 0.8434 Pu
0.3333 0.6667 0.1566 Pu
```

Values from the calculation:
The calculation puts the energy relative to the elements, uncorrected at -2.1656 eV per atom.

No. 5
Below is Rb2NaPuO6 after structural relaxation, with properties calculated at the PBE-GGA level.

```
Rb2NaPuO6
1.0
-4.9429 3.6325 1.1285
-1.7642 -3.8288 4.5957
-0.9714 2.2514 5.7346
O Pu Na Rb
6 1 1 2
direct
0.7216 0.7216 0.9999 O
0.7217 0.7216 0.5568 O
0.2785 0.7216 0.0000 O
0.2784 0.2784 0.0001 O
0.7215 0.2784 0.0000 O
0.2783 0.2784 0.4432 O
0.5000 0.5000 0.0000 Pu
0.0000 0.0000 0.0000 Na
0.7501 0.2499 0.5001 Rb
0.2499 0.7501 0.4999 Rb
```

Values from the calculation:
The value obtained for the density of states at the Fermi level is 1.05 states/eV per atom. The calculation puts the energy relative to the elements, uncorrected at -1.8076 eV per atom.

No. 6
Below is Rb2NaPu3O12 after structural relaxation, with properties calculated at the PBE-GGA level.

```
Rb2NaPu3O12
1.0
7.5185 -0.2735 -0.1940
3.4752 6.6727 -0.1940
3.4752 2.0228 6.3617
Pu O Rb Na
3 12 2 1
direct
0.0000 0.0000 0.5000 Pu
0.5000 0.0000 0.0000 Pu
0.0000 0.5000 0.0000 Pu
0.9055 0.3789 0.9055 O
0.7003 0.7003 0.0818 O
0.9182 0.2997 0.2997 O
0.0818 0.7003 0.7003 O
0.3789 0.9055 0.9055 O
0.9055 0.9055 0.3789 O
0.2997 0.9182 0.2997 O
0.2997 0.2997 0.9182 O
0.7003 0.0818 0.7003 O
0.0945 0.6211 0.0945 O
0.6211 0.0945 0.0945 O
0.0945 0.0945 0.6211 O
0.6205 0.6205 0.6205 Rb
0.3795 0.3795 0.3795 Rb
0.0000 0.0000 0.0000 Na
```

Values from the calculation:
The value obtained for the density of states at the Fermi level is 0.51 states/eV per atom. The calculation puts the energy relative to the elements, uncorrected at -2.2531 eV per atom.

No. 7
Below is Rb2NaPuO4 after structural relaxation, with properties calculated at the PBE-GGA level.

```
Rb2NaPuO4
1.0
3.5586 0.0000 0.0000
0.0000 6.1041 0.0769
0.0000 -2.1816 6.4411
Na Pu Rb O
1 1 2 4
direct
0.0000 0.0000 0.0000 Na
0.5000 0.5000 0.0000 Pu
0.5000 0.0000 0.5000 Rb
0.0000 0.5000 0.5000 Rb
0.5000 0.2890 0.1738 O
0.0000 0.7035 0.1834 O
0.0000 0.2965 0.8166 O
0.5000 0.7110 0.8262 O
```

Values from the calculation:
The value obtained for the density of states at the Fermi level is 0.66 states/eV per atom. The calculation puts the energy relative to the elements, uncorrected at -2.0924 eV per atom.

No. 8
Below is Rb4NaPu3O12 after structural relaxation, with properties calculated at the PBE-GGA level.

```
Rb4NaPu3O12
1.0
-7.2511 -2.0654 -0.2785
4.3344 -5.7151 -2.3394
1.8303 1.8045 7.0934
O Rb Pu Na
12 4 3 1
direct
0.2500 0.5000 0.7500 O
0.7157 0.0000 0.7157 O
0.2500 0.7500 0.5000 O
0.2843 0.2843 0.0000 O
0.5000 0.7500 0.2500 O
0.0000 0.2843 0.2843 O
0.7157 0.7157 0.0000 O
0.5000 0.2500 0.7500 O
0.0000 0.7157 0.7157 O
0.7500 0.5000 0.2500 O
0.7500 0.2500 0.5000 O
0.2843 0.0000 0.2843 O
0.5000 0.0000 0.0000 Rb
0.0000 0.0000 0.5000 Rb
0.0000 0.5000 0.0000 Rb
0.5000 0.5000 0.5000 Rb
0.5000 0.0000 0.5000 Pu
0.0000 0.5000 0.5000 Pu
0.5000 0.5000 0.0000 Pu
0.0000 0.0000 0.0000 Na
```

Values from the calculation:
The value obtained for the density of states at the Fermi level is 0.40 states/eV per atom. The calculation puts the energy relative to the elements, uncorrected at -2.3369 eV per atom.